Here is crystalline SnTe2As at its relaxed geometry from Alexandria. Energies are from PBE.

a = 4.3533 Å, b = 6.2812 Å, c = 4.2608 Å
α = 90.00°, β = 90.00°, γ = 90.00°
Sites, in units of the cell vectors:
Sn 0.1250 0.5000 0.8747
Te 0.1250 0.0000 0.8753
Te 0.6247 0.5000 0.3749
As 0.6254 0.0000 0.3751

Summary:
- E (eV per atom) = -3.758
- spin magnetization (μB/cell) = 0.0
- formation energy without anion corrections (eV/atom) = -0.024
- polymorph energy (0 for the lowest one) (meV/atom) = 0
- crystal system = orthorhombic